Here is BeSb2Rh after structural relaxation from Alexandria. Energies are from PBE.

Magnetic moment, μB/f.u.: 0.0
Symmetry: P4mm
Formation energy from raw total energies, eV per atom: -0.16

Cell: 3.133 3.132 8.028 Å, 90.00 90.00 90.00°
Fractional coordinates of all 4 atoms:
1 Sb 0.500 0.500 0.339
2 Be 0.000 0.000 0.569
3 Sb 0.000 0.000 0.910
4 Rh 0.500 0.500 0.683